{
  "formula": "MnTl2SbO6",
  "functional": "GGA+U",
  "state": "relaxed",
  "dos_ef_per_ev_cell": 2.9,
  "magmom_total_mub_per_fu": 3.7,
  "e_tot_ev_per_atom": -5.551,
  "cell": [[-0.991, 2.951, -3.971], [-4.959, -1.971, -0.228], [-1.685, 3.858, 3.287]],
  "species": ["Mn", "O", "Sb", "Tl", "O", "O", "Tl", "O", "O", "O"],
  "fractional_positions": [[0.596, 0.500, 0.500], [0.195, 0.000, 0.000], [0.577, 0.000, 0.000], [0.046, 0.500, 0.000], [0.699, 0.249, 0.249], [0.699, 0.751, 0.751], [0.046, 0.000, 0.500], [0.190, 0.500, 0.500], [0.699, 0.751, 0.249], [0.699, 0.249, 0.751]]
}